(1)
Material: Ho5TmIn6
Method: DFT, PBE-GGA
State: optimized geometry

Cell: 5.2974 7.4484 8.3760 Å, 90.00 108.38 90.00°
With the nearest neighbours (Å) after each atom.
Fractional coordinates of all 12 atoms:
Ho (0.0000, 0.0000, 0.0000)  8 In 3.24
Ho (0.3329, 0.0000, 0.6657)  8 In 3.24-3.25
Ho (0.3336, 0.5000, 0.6671)  8 In 3.23-3.24
Ho (0.6664, 0.5000, 0.3329)  8 In 3.23-3.24
Ho (0.6671, 0.0000, 0.3343)  8 In 3.24-3.25
Tm (0.0000, 0.5000, 0.0000)  8 In 3.23
In (0.1662, 0.2510, 0.3323)  1 Tm 3.23, 7 Ho 3.23-3.24
In (0.1662, 0.7490, 0.3323)  1 Tm 3.23, 7 Ho 3.23-3.24
In (0.5000, 0.2509, 0.0000)  6 Ho 3.23-3.25, 2 Tm 3.23
In (0.5000, 0.7491, 0.0000)  6 Ho 3.23-3.25, 2 Tm 3.23
In (0.8338, 0.2510, 0.6677)  1 Tm 3.23, 7 Ho 3.23-3.24
In (0.8338, 0.7490, 0.6677)  1 Tm 3.23, 7 Ho 3.23-3.24

Output
SG = P2/m, No. 10
total energy = -4.0988 eV per atom

(2)
Material: Ho6Tm12In
Method: DFT, PBE-GGA
State: optimized geometry

Cell: 8.3426 8.3426 8.3426 Å, 88.79 88.79 88.79°
With the nearest neighbours (Å) after each atom.
Fractional coordinates of all 19 atoms:
Ho (0.2015, 0.5945, 0.7588)  7 Tm 3.25-3.60, 1 In 3.35, 2 Ho 3.39
Ho (0.2412, 0.7985, 0.4055)  7 Tm 3.25-3.60, 1 In 3.35, 2 Ho 3.39
Ho (0.4055, 0.2412, 0.7985)  7 Tm 3.25-3.60, 1 In 3.35, 2 Ho 3.39
Ho (0.5945, 0.7588, 0.2015)  7 Tm 3.25-3.60, 1 In 3.35, 2 Ho 3.39
Ho (0.7588, 0.2015, 0.5945)  7 Tm 3.25-3.60, 1 In 3.35, 2 Ho 3.39
Ho (0.7985, 0.4055, 0.2412)  7 Tm 3.25-3.60, 1 In 3.35, 2 Ho 3.39
Tm (0.0396, 0.2787, 0.9348)  6 Tm 3.23-3.56, 3 Ho 3.25-3.39
Tm (0.0652, 0.9604, 0.7213)  6 Tm 3.23-3.56, 3 Ho 3.25-3.39
Tm (0.1384, 0.3135, 0.4882)  4 Ho 3.35-3.60, 4 Tm 3.41-3.55, 1 In 3.43
Tm (0.2787, 0.9348, 0.0396)  6 Tm 3.23-3.56, 3 Ho 3.25-3.39
Tm (0.3135, 0.4882, 0.1384)  4 Ho 3.35-3.60, 4 Tm 3.41-3.55, 1 In 3.43
Tm (0.4882, 0.1384, 0.3135)  4 Ho 3.35-3.60, 4 Tm 3.41-3.55, 1 In 3.43
Tm (0.5118, 0.8616, 0.6865)  4 Ho 3.35-3.60, 4 Tm 3.41-3.55, 1 In 3.43
Tm (0.6865, 0.5118, 0.8616)  4 Ho 3.35-3.60, 4 Tm 3.41-3.55, 1 In 3.43
Tm (0.7213, 0.0652, 0.9604)  6 Tm 3.23-3.56, 3 Ho 3.25-3.39
Tm (0.8616, 0.6865, 0.5118)  4 Ho 3.35-3.60, 4 Tm 3.41-3.55, 1 In 3.43
Tm (0.9348, 0.0396, 0.2787)  6 Tm 3.23-3.56, 3 Ho 3.25-3.39
Tm (0.9604, 0.7213, 0.0652)  6 Tm 3.23-3.56, 3 Ho 3.25-3.39
In (0.5000, 0.5000, 0.5000)  6 Ho 3.35, 6 Tm 3.43

Output
SG = R-3, No. 148
total energy = -4.3345 eV per atom

(3)
Material: Ho6Tm2In3
Method: DFT, PBE-GGA
State: optimized geometry

Cell: 16.8865 16.8865 16.8865 Å, 164.66 164.66 21.75°
With the nearest neighbours (Å) after each atom.
Fractional coordinates of all 11 atoms:
Ho (0.1269, 0.6269, 0.5000)  2 In 3.16, 4 Ho 3.19, 2 Tm 3.52
Ho (0.2127, 0.2127, 0.0000)  5 In 3.11-3.25
Ho (0.3731, 0.8731, 0.5000)  2 In 3.16, 4 Ho 3.19, 2 Tm 3.52
Ho (0.6269, 0.1269, 0.5000)  2 In 3.16, 4 Ho 3.19, 2 Tm 3.52
Ho (0.7873, 0.7873, 0.0000)  5 In 3.11-3.25
Ho (0.8731, 0.3731, 0.5000)  2 In 3.16, 4 Ho 3.19, 2 Tm 3.52
Tm (0.0453, 0.0453, 0.0000)  1 Tm 3.00
Tm (0.9547, 0.9547, 0.0000)  1 Tm 3.00
In (0.3064, 0.3064, 0.0000)  9 Ho 3.11-3.25
In (0.5000, 0.5000, 0.0000)  8 Tm 3.52
In (0.6936, 0.6936, 0.0000)  9 Ho 3.11-3.25

Output
SG = I4/mmm, No. 139
total energy = -4.0209 eV per atom

(4)
Material: Ho3Tm7In2
Method: DFT, PBE-GGA
State: optimized geometry

Cell: 5.5308 3.5440 18.1788 Å, 90.00 93.57 90.00°
With the nearest neighbours (Å) after each atom.
Fractional coordinates of all 12 atoms:
Ho (0.0000, 0.0000, 0.0000)  8 Tm 3.28-3.30, 2 Ho 3.54
Ho (0.2762, 0.5000, 0.6328)  2 Ho 3.54, 4 In 3.55-3.57, 8 Tm 3.63-3.97
Ho (0.7238, 0.5000, 0.3672)  2 Ho 3.54, 4 In 3.55-3.57, 8 Tm 3.63-3.97
Tm (0.1695, 0.5000, 0.1472)  2 In 3.16, 2 Ho 3.30, 5 Tm 3.30-3.33
Tm (0.2416, 0.0000, 0.4585)  1 In 3.03, 2 Tm 3.15
Tm (0.3276, 0.0000, 0.8283)  8 Tm 3.30-3.66, 2 In 3.48-3.55
Tm (0.5000, 0.5000, 0.0000)  4 Ho 3.28, 8 Tm 3.33-3.66
Tm (0.6724, 0.0000, 0.1717)  8 Tm 3.30-3.66, 2 In 3.48-3.55
Tm (0.7584, 0.0000, 0.5415)  1 In 3.03, 2 Tm 3.15
Tm (0.8305, 0.5000, 0.8528)  2 In 3.16, 2 Ho 3.30, 5 Tm 3.30-3.33
In (0.2052, 0.0000, 0.2915)  3 Tm 3.03-3.16
In (0.7948, 0.0000, 0.7085)  3 Tm 3.03-3.16

Output
SG = P2/m, No. 10
total energy = -4.2580 eV per atom

(5)
Material: Ho3Tm2In
Method: DFT, PBE-GGA
State: optimized geometry

Cell: 7.8240 7.8240 4.8144 Å, 90.00 90.00 143.96°
With the nearest neighbours (Å) after each atom.
Fractional coordinates of all 6 atoms:
Ho (0.0000, 0.0000, 0.0000)  4 In 3.41, 4 Tm 3.42, 4 Ho 3.49
Ho (0.3313, 0.6687, 0.0000)  6 Tm 3.41-3.47, 4 Ho 3.42-3.49, 2 In 3.48
Ho (0.6687, 0.3313, 0.0000)  6 Tm 3.41-3.47, 4 Ho 3.42-3.49, 2 In 3.48
Tm (0.1629, 0.8371, 0.5000)  8 Ho 3.41-3.47, 2 In 3.43, 2 Tm 3.55
Tm (0.8371, 0.1629, 0.5000)  8 Ho 3.41-3.47, 2 In 3.43, 2 Tm 3.55
In (0.5000, 0.5000, 0.5000)  8 Ho 3.41-3.48, 4 Tm 3.43

Output
SG = Cmmm, No. 65
offset from the most stable computed form = 0.0000 eV/atom

(6)
Material: Ho2Tm7In2
Method: DFT, PBE-GGA
State: optimized geometry

Cell: 6.4207 6.4207 8.3241 Å, 102.04 102.04 97.60°
With the nearest neighbours (Å) after each atom.
Fractional coordinates of all 11 atoms:
Ho (0.1835, 0.8165, 0.0000)  2 In 3.17, 6 Tm 3.34-3.43
Ho (0.8165, 0.1835, 0.0000)  2 In 3.17, 6 Tm 3.34-3.43
Tm (0.0206, 0.3813, 0.6746)  3 In 3.23-3.43, 1 Ho 3.34, 3 Tm 3.48-3.60
Tm (0.3567, 0.3567, 0.0811)  2 Tm 3.13-3.31, 1 In 3.29, 4 Ho 3.38-3.43
Tm (0.3813, 0.0206, 0.6746)  3 In 3.23-3.43, 1 Ho 3.34, 3 Tm 3.48-3.60
Tm (0.5000, 0.5000, 0.5000)  2 In 3.05, 2 Tm 3.31
Tm (0.6187, 0.9794, 0.3254)  3 In 3.23-3.43, 1 Ho 3.34, 3 Tm 3.48-3.60
Tm (0.6433, 0.6433, 0.9189)  2 Tm 3.13-3.31, 1 In 3.29, 4 Ho 3.38-3.43
Tm (0.9794, 0.6187, 0.3254)  3 In 3.23-3.43, 1 Ho 3.34, 3 Tm 3.48-3.60
In (0.1234, 0.1234, 0.3314)  6 Tm 3.05-3.29, 2 Ho 3.17
In (0.8766, 0.8766, 0.6686)  6 Tm 3.05-3.29, 2 Ho 3.17

Output
SG = C2/m, No. 12
total energy = -4.3065 eV per atom

(7)
Material: Ho2TmIn2
Method: DFT, PBE-GGA
State: optimized geometry

Cell: 5.9979 5.9979 5.9979 Å, 132.33 111.72 87.51°
With the nearest neighbours (Å) after each atom.
Fractional coordinates of all 5 atoms:
Ho (0.1938, 0.1938, 0.0000)  6 In 3.28, 1 Ho 3.36, 2 Tm 3.59
Ho (0.8062, 0.8062, 0.0000)  6 In 3.28, 1 Ho 3.36, 2 Tm 3.59
Tm (0.5000, 0.0000, 0.5000)  4 In 3.09
In (0.2144, 0.5000, 0.7144)  1 In 2.89, 2 Tm 3.09
In (0.7856, 0.5000, 0.2856)  1 In 2.89, 2 Tm 3.09

Output
SG = Immm, No. 71
offset from the most stable computed form = 0.0320 eV/atom

(8)
Material: Ho14TmIn
Method: DFT, PBE-GGA
State: optimized geometry

Cell: 6.9862 6.9862 9.9291 Å, 90.00 90.00 90.00°
With the nearest neighbours (Å) after each atom.
Fractional coordinates of all 16 atoms:
Ho (0.0000, 0.0000, 0.0000)  12 Ho 3.49-3.52
Ho (0.0000, 0.5000, 0.0000)  12 Ho 3.49-3.52
Ho (0.0000, 0.5000, 0.5000)  8 Ho 3.49, 2 In 3.49, 2 Tm 3.49
Ho (0.2501, 0.2501, 0.2523)  1 In 3.48, 10 Ho 3.49-3.52, 1 Tm 3.49
Ho (0.2501, 0.2501, 0.7477)  1 In 3.48, 10 Ho 3.49-3.52, 1 Tm 3.49
Ho (0.2501, 0.7499, 0.2523)  1 In 3.48, 10 Ho 3.49-3.52, 1 Tm 3.49
Ho (0.2501, 0.7499, 0.7477)  1 In 3.48, 10 Ho 3.49-3.52, 1 Tm 3.49
Ho (0.5000, 0.0000, 0.0000)  12 Ho 3.49-3.52
Ho (0.5000, 0.0000, 0.5000)  8 Ho 3.49, 2 In 3.49, 2 Tm 3.49
Ho (0.5000, 0.5000, 0.0000)  12 Ho 3.49-3.52
Ho (0.7499, 0.2501, 0.2523)  1 In 3.48, 10 Ho 3.49-3.52, 1 Tm 3.49
Ho (0.7499, 0.2501, 0.7477)  1 In 3.48, 10 Ho 3.49-3.52, 1 Tm 3.49
Ho (0.7499, 0.7499, 0.2523)  1 In 3.48, 10 Ho 3.49-3.52, 1 Tm 3.49
Ho (0.7499, 0.7499, 0.7477)  1 In 3.48, 10 Ho 3.49-3.52, 1 Tm 3.49
Tm (0.0000, 0.0000, 0.5000)  12 Ho 3.49
In (0.5000, 0.5000, 0.5000)  12 Ho 3.48-3.49

Output
SG = P4/mmm, No. 123
total energy = -4.4853 eV per atom

(9)
Material: HoTm12In6
Method: DFT, PBE-GGA
State: optimized geometry

Cell: 8.0954 8.0954 8.0954 Å, 88.74 88.74 88.74°
With the nearest neighbours (Å) after each atom.
Fractional coordinates of all 19 atoms:
Ho (0.0000, 0.0000, 0.0000)  6 In 3.24, 6 Tm 3.31
Tm (0.0353, 0.1550, 0.3727)  3 In 3.19-3.54, 4 Tm 3.26-3.35, 1 Ho 3.31
Tm (0.1550, 0.3727, 0.0353)  3 In 3.19-3.54, 4 Tm 3.26-3.35, 1 Ho 3.31
Tm (0.1988, 0.4706, 0.5604)  4 In 3.15-3.36, 4 Tm 3.32-3.40
Tm (0.3727, 0.0353, 0.1550)  3 In 3.19-3.54, 4 Tm 3.26-3.35, 1 Ho 3.31
Tm (0.4396, 0.8012, 0.5294)  4 In 3.15-3.36, 4 Tm 3.32-3.40
Tm (0.4706, 0.5604, 0.1988)  4 In 3.15-3.36, 4 Tm 3.32-3.40
Tm (0.5294, 0.4396, 0.8012)  4 In 3.15-3.36, 4 Tm 3.32-3.40
Tm (0.5604, 0.1988, 0.4706)  4 In 3.15-3.36, 4 Tm 3.32-3.40
Tm (0.6273, 0.9647, 0.8450)  3 In 3.19-3.54, 4 Tm 3.26-3.35, 1 Ho 3.31
Tm (0.8012, 0.5294, 0.4396)  4 In 3.15-3.36, 4 Tm 3.32-3.40
Tm (0.8450, 0.6273, 0.9647)  3 In 3.19-3.54, 4 Tm 3.26-3.35, 1 Ho 3.31
Tm (0.9647, 0.8450, 0.6273)  3 In 3.19-3.54, 4 Tm 3.26-3.35, 1 Ho 3.31
In (0.1209, 0.7362, 0.2807)  6 Tm 3.15-3.36, 1 Ho 3.24, 2 In 3.43
In (0.2638, 0.7193, 0.8791)  6 Tm 3.15-3.36, 1 Ho 3.24, 2 In 3.43
In (0.2807, 0.1209, 0.7362)  6 Tm 3.15-3.36, 1 Ho 3.24, 2 In 3.43
In (0.7193, 0.8791, 0.2638)  6 Tm 3.15-3.36, 1 Ho 3.24, 2 In 3.43
In (0.7362, 0.2807, 0.1209)  6 Tm 3.15-3.36, 1 Ho 3.24, 2 In 3.43
In (0.8791, 0.2638, 0.7193)  6 Tm 3.15-3.36, 1 Ho 3.24, 2 In 3.43

Output
SG = R-3, No. 148
total energy = -4.1179 eV per atom

(10)
Material: Ho3TmIn2
Method: DFT, PBE-GGA
State: optimized geometry

Cell: 5.1367 9.7659 6.6779 Å, 90.00 90.00 90.00°
With the nearest neighbours (Å) after each atom.
Fractional coordinates of all 12 atoms:
Ho (0.0000, 0.0359, 0.0000)  5 In 3.22-3.53, 5 Ho 3.41-3.60
Ho (0.0000, 0.3191, 0.3535)  5 In 3.15-3.52, 2 Tm 3.47
Ho (0.0000, 0.6809, 0.8535)  5 In 3.15-3.52, 2 Tm 3.47
Ho (0.0000, 0.9641, 0.5000)  5 In 3.22-3.53, 5 Ho 3.41-3.60
Ho (0.5000, 0.1835, 0.7212)  5 In 3.17-3.53, 2 Ho 3.48
Ho (0.5000, 0.8165, 0.2212)  5 In 3.17-3.53, 2 Ho 3.48
Tm (0.5000, 0.4633, 0.0741)  5 In 3.21-3.54, 2 Tm 3.42, 3 Ho 3.47-3.59
Tm (0.5000, 0.5367, 0.5741)  5 In 3.21-3.54, 2 Tm 3.42, 3 Ho 3.47-3.59
In (0.0000, 0.3589, 0.8296)  6 Ho 3.15-3.52, 2 Tm 3.21
In (0.0000, 0.6411, 0.3296)  6 Ho 3.15-3.52, 2 Tm 3.21
In (0.5000, 0.1413, 0.2456)  9 Ho 3.18-3.53, 1 Tm 3.35
In (0.5000, 0.8587, 0.7456)  9 Ho 3.18-3.53, 1 Tm 3.35

Output
SG = Pmc2_1, No. 26
offset from the most stable computed form = 0.0000 eV/atom

(11)
Material: Ho2Tm5In
Method: DFT, PBE-GGA
State: optimized geometry

Cell: 6.4633 6.4633 15.2590 Å, 90.00 90.00 131.14°
With the nearest neighbours (Å) after each atom.
Fractional coordinates of all 16 atoms:
Ho (0.2197, 0.7803, 0.6336)  6 Tm 3.21-3.59, 2 In 3.23, 1 Ho 3.55
Ho (0.2197, 0.7803, 0.8664)  6 Tm 3.21-3.59, 2 In 3.23, 1 Ho 3.55
Ho (0.7803, 0.2197, 0.1336)  6 Tm 3.21-3.59, 2 In 3.23, 1 Ho 3.55
Ho (0.7803, 0.2197, 0.3664)  6 Tm 3.21-3.59, 2 In 3.23, 1 Ho 3.55
Tm (0.0850, 0.9150, 0.0881)  1 In 3.14, 3 Tm 3.35-3.45
Tm (0.0850, 0.9150, 0.4119)  1 In 3.14, 3 Tm 3.35-3.45
Tm (0.3895, 0.6105, 0.0535)  2 Tm 3.07-3.41, 2 Ho 3.21, 1 In 3.42
Tm (0.3895, 0.6105, 0.4465)  2 Tm 3.07-3.41, 2 Ho 3.21, 1 In 3.42
Tm (0.4729, 0.5271, 0.7500)  1 In 3.27, 2 Tm 3.41, 2 Ho 3.47
Tm (0.5271, 0.4729, 0.2500)  1 In 3.27, 2 Tm 3.41, 2 Ho 3.47
Tm (0.6105, 0.3895, 0.5535)  2 Tm 3.07-3.41, 2 Ho 3.21, 1 In 3.42
Tm (0.6105, 0.3895, 0.9465)  2 Tm 3.07-3.41, 2 Ho 3.21, 1 In 3.42
Tm (0.9150, 0.0850, 0.5881)  1 In 3.14, 3 Tm 3.35-3.45
Tm (0.9150, 0.0850, 0.9119)  1 In 3.14, 3 Tm 3.35-3.45
In (0.2496, 0.7504, 0.2500)  5 Tm 3.14-3.42, 4 Ho 3.23
In (0.7504, 0.2496, 0.7500)  5 Tm 3.14-3.42, 4 Ho 3.23

Output
SG = Cmcm, No. 63
offset from the most stable computed form = 0.0169 eV/atom

(12)
Material: Ho6TmIn3
Method: DFT, PBE-GGA
State: optimized geometry

Cell: 10.0400 5.1648 11.3186 Å, 90.00 103.05 90.00°
With the nearest neighbours (Å) after each atom.
Fractional coordinates of all 20 atoms:
Ho (0.0609, 0.2500, 0.4093)  6 In 3.23-3.37, 1 Ho 3.55
Ho (0.1532, 0.7500, 0.1837)  5 In 3.17-3.27, 1 Tm 3.44, 2 Ho 3.50
Ho (0.2332, 0.2500, 0.9928)  4 In 3.23-3.31, 3 Tm 3.45-3.47, 3 Ho 3.46-3.57
Ho (0.3098, 0.7500, 0.7863)  4 In 3.22-3.57, 3 Ho 3.46-3.50, 3 Tm 3.49-3.52
Ho (0.3807, 0.2500, 0.3006)  8 Ho 3.43-3.69, 3 In 3.47-3.79, 2 Tm 3.67
Ho (0.3915, 0.2500, 0.6059)  3 In 3.10-3.20, 1 Tm 3.36, 3 Ho 3.43-3.45
Ho (0.6085, 0.7500, 0.3941)  3 In 3.10-3.20, 1 Tm 3.36, 3 Ho 3.43-3.45
Ho (0.6193, 0.7500, 0.6994)  8 Ho 3.43-3.69, 3 In 3.47-3.79, 2 Tm 3.67
Ho (0.6902, 0.2500, 0.2137)  4 In 3.22-3.57, 3 Ho 3.46-3.50, 3 Tm 3.49-3.52
Ho (0.7668, 0.7500, 0.0072)  4 In 3.23-3.31, 3 Tm 3.45-3.47, 3 Ho 3.46-3.57
Ho (0.8468, 0.2500, 0.8163)  5 In 3.17-3.27, 1 Tm 3.44, 2 Ho 3.50
Ho (0.9391, 0.7500, 0.5907)  6 In 3.23-3.37, 1 Ho 3.55
Tm (0.4603, 0.7500, 0.0964)  10 Ho 3.36-3.67, 2 Tm 3.58
Tm (0.5397, 0.2500, 0.9036)  10 Ho 3.36-3.67, 2 Tm 3.58
In (0.0355, 0.7500, 0.8894)  8 Ho 3.20-3.31, 2 In 3.54
In (0.1160, 0.2500, 0.7028)  8 Ho 3.20-3.24, 2 In 3.54
In (0.2821, 0.7500, 0.4665)  7 Ho 3.10-3.47
In (0.7179, 0.2500, 0.5335)  7 Ho 3.10-3.47
In (0.8840, 0.7500, 0.2972)  8 Ho 3.20-3.24, 2 In 3.54
In (0.9645, 0.2500, 0.1106)  8 Ho 3.20-3.31, 2 In 3.54

Output
SG = P2_1/m, No. 11
offset from the most stable computed form = 0.0000 eV/atom

Calculated size of the total moment, 0.0 0.0 0.0 0.0 0.0 0.0 0.0 0.0 0.0 0.0 0.0 0.0 μB per formula unit (same order as the records).